Entry 1:
A geometry-optimized Sr2Tl2Hg structure, computed with PBE-GGA.

Structure (CIF):
```
data_Sr2Tl2Hg
_cell_length_a 8.398
_cell_length_b 8.398
_cell_length_c 4.868
_cell_angle_alpha 90.00
_cell_angle_beta 90.00
_cell_angle_gamma 90.00
_symmetry_space_group_name_H-M 'P 4/m b m'
_symmetry_Int_Tables_number 127
_symmetry_space_group_name_Hall '-P 4 2ab'
loop_
_atom_site_label
_atom_site_type_symbol
_atom_site_fract_x
_atom_site_fract_y
_atom_site_fract_z
Sr1 Sr 0.169 0.331 0.000
Tl1 Tl 0.134 0.634 0.500
Hg1 Hg 0.000 0.000 0.500
```

Properties
Spin magnetization: 0.00 μB/f.u.
Offset from the most stable computed form: 0.076 eV per atom
N(E_F): 0.950 states/eV per atom

***

Entry 2:
A geometry-optimized SrTlHg structure, computed with PBE-GGA.

Structure (CIF):
```
data_SrTlHg
_cell_length_a 4.013
_cell_length_b 4.013
_cell_length_c 11.574
_cell_angle_alpha 90.00
_cell_angle_beta 90.00
_cell_angle_gamma 90.00
_symmetry_space_group_name_H-M 'I 4 m m'
_symmetry_Int_Tables_number 107
_symmetry_space_group_name_Hall 'I 4 -2'
loop_
_atom_site_label
_atom_site_type_symbol
_atom_site_fract_x
_atom_site_fract_y
_atom_site_fract_z
Sr1 Sr 0.000 0.000 0.000
Tl1 Tl 0.000 0.000 0.312
Hg1 Hg 0.000 0.000 0.666
```

Properties
Spin magnetization: 0.00 μB/f.u.
Offset from the most stable computed form: 0.055 eV per atom
N(E_F): 0.431 states/eV per atom

***

Entry 3:
A geometry-optimized SrTlHg4 structure, computed with PBE-GGA.

Structure (CIF):
```
data_SrTlHg4
_cell_length_a 5.505
_cell_length_b 11.243
_cell_length_c 5.441
_cell_angle_alpha 90.00
_cell_angle_beta 90.00
_cell_angle_gamma 90.00
_symmetry_space_group_name_H-M 'C m m m'
_symmetry_Int_Tables_number 65
_symmetry_space_group_name_Hall '-C 2 2'
loop_
_atom_site_label
_atom_site_type_symbol
_atom_site_fract_x
_atom_site_fract_y
_atom_site_fract_z
Sr1 Sr 0.000 0.000 0.000
Tl1 Tl 0.000 0.500 0.500
Hg1 Hg 0.000 0.175 0.500
Hg2 Hg 0.000 0.319 0.000
```

Properties
Spin magnetization: 0.00 μB/f.u.
Offset from the most stable computed form: 0.000 eV per atom
N(E_F): 0.344 states/eV per atom

***

Which formula does entry 2 have? SrTlHg

***

Among the records above, which one has the highest offset from the most stable computed form? Sr2Tl2Hg